TiMnS2F: relaxed, PBE+U.

Geometry as POSCAR:
```
TiMnS2F
1.0
5.120 0.000 0.000
0.000 5.120 0.000
0.000 0.000 3.614
Ti Mn S F
1 1 2 1
Cartesian
0.000 0.000 0.000
2.560 2.560 0.000
0.000 2.560 1.807
2.560 0.000 1.807
0.000 0.000 1.807
```

## Properties
DOS(E_F)   1.87 states/eV per cell
Total DFT energy (no corrections)   -5.527 eV/atom